## KPaPdSe4 (PBE)

Data for a geometry-optimized KPaPdSe4 structure.

raw formation energy: -1.00 eV per atom

a b c (Å): 7.259 5.737 9.479
angles (deg): 90.00 108.81 90.00
Space group P2_1/m (No. 11)
One atom of each set of equivalent atoms:
K (0.244, 0.250, 0.052) x2
Pa (0.276, 0.250, 0.555) x2
Pd (0.251, 0.750, 0.311) x2
Se (0.030, 0.513, 0.699) x4
Se (0.427, 0.750, 0.588) x2
Se (0.473, 0.750, 0.160) x2


## ZrScAg3 (PBE)

Data for a geometry-optimized ZrScAg3 structure.

a b c (Å): 4.928 4.928 4.928
angles (deg): 90.00 90.00 90.00
Space group Pm-3m (No. 221)
One atom of each set of equivalent atoms:
Zr (0.000, 0.000, 0.000) x1
Sc (0.500, 0.500, 0.500) x1
Ag (0.000, 0.500, 0.500) x3


## YInGePd (PBE)

Data for a geometry-optimized YInGePd structure.

a b c (Å): 6.933 6.933 6.933
angles (deg): 90.00 90.00 90.00
Space group F-43m (No. 216)
One atom of each set of equivalent atoms:
Y (0.000, 0.000, 0.000) x4
In (0.000, 0.000, 0.500) x4
Ge (0.250, 0.250, 0.250) x4
Pd (0.250, 0.250, 0.750) x4


## RbGeSb (PBE)

Data for a geometry-optimized RbGeSb structure.

raw formation energy: -0.25 eV per atom

a b c (Å): 4.2600 4.2600 6.6744
angles (deg): 90.00 90.00 120.00
Space group P3m1 (No. 156)
One atom of each set of equivalent atoms:
Rb (0.0000, 0.0000, 0.0000) x1
Ge (0.3333, 0.6667, 0.3823) x1
Sb (0.6667, 0.3333, 0.5766) x1


no.,calculated density (g/cm³),energy (eV per atom)
1,6.2,-5.24
2,6.4,-3.84
3,7.6,-5.30
4,4.4,-3.48